{
  "formula": "MgAl2F",
  "functional": "GGA-PBE",
  "state": "optimized geometry",
  "lattice_angstrom": [[-2.486, 2.486, 6.713], [2.486, -2.486, 6.713], [2.486, 2.486, -6.713]],
  "species": ["Mg", "Mg", "Al", "Al", "Al", "Al", "F", "F"],
  "frac_coords": [[0.000, 0.000, 0.000], [0.750, 0.250, 0.500], [0.276, 0.625, 0.151], [0.375, 0.526, 0.651], [0.474, 0.125, 0.849], [0.875, 0.724, 0.349], [0.250, 0.750, 0.500], [0.500, 0.500, 0.000]],
  "vol_a3_per_atom": 20.7,
  "polymorph_energy_ev_per_atom": 0.0000,
  "e_form_raw_kj_per_mol_atoms": -45,
  "final_energy_ev_per_atom": -3.2001
}

=====

{
  "formula": "Pm8IrPt5",
  "functional": "GGA-PBE",
  "state": "optimized geometry",
  "lattice_angstrom": [[-4.466, 4.466, 4.484], [4.466, -4.466, 4.484], [4.466, 4.466, -4.484]],
  "species": ["Pm", "Pm", "Pm", "Pm", "Pm", "Pm", "Pm", "Pm", "Ir", "Pt", "Pt", "Pt", "Pt", "Pt"],
  "frac_coords": [[0.128, 0.376, 0.126], [0.131, 0.378, 0.634], [0.250, 0.002, 0.874], [0.503, 0.869, 0.247], [0.622, 0.256, 0.753], [0.624, 0.750, 0.752], [0.744, 0.497, 0.366], [0.998, 0.872, 0.248], [0.500, 0.500, 0.000], [0.250, 0.750, 0.500], [0.373, 0.248, 0.372], [0.752, 0.124, 0.125], [0.876, 0.001, 0.628], [0.999, 0.627, 0.875]],
  "vol_a3_per_atom": 25.6,
  "delta_e_f_ev_per_fu": -13.29,
  "final_energy_ev_per_atom": -6.4540
}

=====

{
  "formula": "ErZn4",
  "functional": "GGA-PBE",
  "state": "optimized geometry",
  "lattice_angstrom": [[5.621, 0.000, 0.000], [0.000, 5.621, 0.000], [0.000, 0.000, 5.621]],
  "species": ["Er", "Zn", "Zn", "Zn", "Zn"],
  "frac_coords": [[0.000, 0.000, 0.000], [0.000, 0.000, 0.500], [0.000, 0.500, 0.000], [0.500, 0.000, 0.000], [0.500, 0.500, 0.500]],
  "vol_a3_per_atom": 35.5,
  "delta_e_f_ev_per_fu": 4.48,
  "final_energy_ev_per_atom": -1.0350
}

=====

{
  "formula": "DyEr3Ga8",
  "functional": "GGA-PBE",
  "state": "optimized geometry",
  "lattice_angstrom": [[2.730, 1.576, 9.044], [-2.730, 1.576, 9.044], [0.000, -3.153, 9.044]],
  "species": ["Dy", "Er", "Er", "Er", "Ga", "Ga", "Ga", "Ga", "Ga", "Ga", "Ga", "Ga"],
  "frac_coords": [[0.000, 0.000, 0.000], [0.124, 0.124, 0.124], [0.500, 0.500, 0.500], [0.624, 0.624, 0.624], [0.062, 0.062, 0.562], [0.062, 0.562, 0.062], [0.062, 0.562, 0.562], [0.312, 0.312, 0.312], [0.562, 0.062, 0.062], [0.562, 0.062, 0.562], [0.562, 0.562, 0.062], [0.812, 0.812, 0.812]],
  "vol_a3_per_atom": 19.5,
  "delta_e_f_ev_per_fu": -6.51,
  "final_energy_ev_per_atom": -4.0846
}

=====

{
  "formula": "Pm3Sm6YEr2",
  "functional": "GGA-PBE",
  "state": "optimized geometry",
  "lattice_angstrom": [[3.129, -5.420, 0.000], [3.129, 5.420, 0.000], [-2.083, 0.000, 11.762]],
  "species": ["Pm", "Pm", "Pm", "Sm", "Sm", "Sm", "Sm", "Sm", "Sm", "Y", "Er", "Er"],
  "frac_coords": [[0.000, 0.000, 0.000], [0.333, 0.667, 0.000], [0.667, 0.333, 0.000], [0.083, 0.417, 0.254], [0.248, 0.248, 0.746], [0.417, 0.083, 0.254], [0.583, 0.917, 0.746], [0.752, 0.752, 0.254], [0.917, 0.583, 0.746], [0.500, 0.500, 0.500], [0.167, 0.833, 0.500], [0.833, 0.167, 0.500]],
  "vol_a3_per_atom": 33.2,
  "delta_e_f_ev_per_fu": 0.19,
  "final_energy_ev_per_atom": -4.8306
}

=====

{
  "formula": "AlSiSe2",
  "functional": "GGA-PBE",
  "state": "optimized geometry",
  "lattice_angstrom": [[-3.417, 3.417, 3.854], [3.417, -3.417, 3.854], [3.417, 3.417, -3.854]],
  "species": ["Al", "Al", "Si", "Si", "Se", "Se", "Se", "Se"],
  "frac_coords": [[0.000, 0.000, 0.000], [0.750, 0.250, 0.500], [0.250, 0.750, 0.500], [0.500, 0.500, 0.000], [0.104, 0.625, 0.979], [0.375, 0.354, 0.479], [0.646, 0.125, 0.021], [0.875, 0.896, 0.521]],
  "vol_a3_per_atom": 22.5,
  "polymorph_energy_ev_per_atom": 0.3296,
  "e_form_raw_kj_per_mol_atoms": -4,
  "final_energy_ev_per_atom": -4.0730
}

=====

{
  "formula": "SrSbTe2Au",
  "functional": "GGA-PBE",
  "state": "optimized geometry",
  "lattice_angstrom": [[5.701, 0.000, 0.000], [0.000, 5.701, 0.000], [0.000, 0.000, 5.222]],
  "species": ["Sr", "Sb", "Te", "Te", "Au"],
  "frac_coords": [[0.000, 0.000, 0.000], [0.500, 0.500, 0.000], [0.000, 0.500, 0.500], [0.500, 0.000, 0.500], [0.500, 0.500, 0.500]],
  "vol_a3_per_atom": 33.9,
  "polymorph_energy_ev_per_atom": 0.0000,
  "e_form_raw_kj_per_mol_atoms": -26,
  "final_energy_ev_per_atom": -3.3425
}

=====

{
  "formula": "BeTe2O",
  "functional": "GGA-PBE",
  "state": "optimized geometry",
  "lattice_angstrom": [[1.648, 0.952, 8.363], [-1.648, 0.952, 8.363], [0.000, -1.903, 8.363]],
  "species": ["Be", "Te", "Te", "O"],
  "frac_coords": [[0.000, 0.000, 0.000], [0.095, 0.095, 0.095], [0.905, 0.905, 0.905], [0.500, 0.500, 0.500]],
  "vol_a3_per_atom": 19.7,
  "polymorph_energy_ev_per_atom": 0.5706,
  "e_form_raw_kj_per_mol_atoms": 51,
  "final_energy_ev_per_atom": -3.2146
}

=====

{
  "formula": "Zn2CuW",
  "functional": "GGA-PBE",
  "state": "optimized geometry",
  "lattice_angstrom": [[3.843, 0.000, 0.000], [0.000, 3.843, 0.000], [0.000, 0.000, 3.795]],
  "species": ["Zn", "Zn", "Cu", "W"],
  "frac_coords": [[0.000, 0.500, 0.000], [0.500, 0.000, 0.000], [0.000, 0.000, 0.500], [0.500, 0.500, 0.500]],
  "vol_a3_per_atom": 14.0,
  "polymorph_energy_ev_per_atom": 0.1147,
  "delta_e_f_ev_per_fu": 0.87,
  "final_energy_ev_per_atom": -4.6806
}

=====

{
  "formula": "Mn2AlTe",
  "functional": "GGA-PBE",
  "state": "optimized geometry",
  "lattice_angstrom": [[3.376, 0.000, 0.000], [0.000, 3.376, 0.000], [0.000, 0.000, 5.882]],
  "species": ["Mn", "Mn", "Al", "Te"],
  "frac_coords": [[0.000, 0.000, 0.226], [0.000, 0.000, 0.774], [0.500, 0.500, 0.000], [0.500, 0.500, 0.500]],
  "vol_a3_per_atom": 16.8,
  "polymorph_energy_ev_per_atom": 0.0745,
  "e_form_raw_kj_per_mol_atoms": 18,
  "final_energy_ev_per_atom": -6.1190
}

=====

{
  "formula": "Y2In2Sn",
  "functional": "GGA-PBE",
  "state": "optimized geometry",
  "lattice_angstrom": [[-2.456, 2.456, 6.509], [2.456, -2.456, 6.509], [2.456, 2.456, -6.509]],
  "species": ["Y", "Y", "In", "In", "Sn"],
  "frac_coords": [[0.250, 0.750, 0.500], [0.750, 0.250, 0.500], [0.103, 0.103, 0.000], [0.897, 0.897, 0.000], [0.500, 0.500, 0.000]],
  "vol_a3_per_atom": 31.4,
  "polymorph_energy_ev_per_atom": 0.5076,
  "delta_e_f_ev_per_fu": 0.22,
  "final_energy_ev_per_atom": -4.4372
}

=====

{
  "formula": "BiSe",
  "functional": "GGA-PBE",
  "state": "optimized geometry",
  "lattice_angstrom": [[11.508, 0.000, 0.000], [-5.754, 9.966, 0.000], [0.000, 0.000, 3.937]],
  "species": ["Bi", "Bi", "Bi", "Bi", "Bi", "Bi", "Se", "Se", "Se", "Se", "Se", "Se"],
  "frac_coords": [[0.021, 0.681, 0.250], [0.319, 0.340, 0.250], [0.340, 0.021, 0.750], [0.660, 0.979, 0.250], [0.681, 0.660, 0.750], [0.979, 0.319, 0.750], [0.143, 0.497, 0.250], [0.353, 0.857, 0.250], [0.497, 0.353, 0.750], [0.503, 0.647, 0.250], [0.647, 0.143, 0.750], [0.857, 0.503, 0.750]],
  "vol_a3_per_atom": 37.6,
  "polymorph_energy_ev_per_atom": 0.2978,
  "e_form_raw_kj_per_mol_atoms": -3,
  "final_energy_ev_per_atom": -3.7088
}

=====

no.,mass density (Mg/m³),D(E_F) (states/eV per atom)
1,1.9,0.377
2,10.8,0.782
3,4.0,1.093
4,8.7,0.555
5,7.3,1.316
6,3.9,0.738
7,6.5,0.659
8,5.9,0.723
9,11.2,0.620
10,6.6,0.874
11,5.6,1.014
12,6.4,0.155